Record 1
Crystalline K2SrSn2 at its relaxed geometry. Source: Alexandria via LeMat-Bulk, functional PBE.

The formation energy is -0.0508 eV/atom.

It has space group P4/mbm (No. 127), with a = 10.084 Å, b = 10.084 Å, c = 3.619 Å, α = 90.00°, β = 90.00° and γ = 90.00°. Symmetry generates all atoms from K at (0.117, 0.383, 0.000), Sr at (0.000, 0.000, 0.000) and Sn at (0.182, 0.682, 0.500).


Record 2
Crystalline Er2RhPb at its relaxed geometry. Source: Alexandria via LeMat-Bulk, functional PBE.

The formation energy is -0.5474 eV/atom.

It has space group P4/mmm (No. 123), with a = 4.897 Å, b = 4.897 Å, c = 3.896 Å, α = 90.00°, β = 90.00° and γ = 90.00°. Symmetry generates all atoms from Er at (0.000, 0.500, 0.000), Rh at (0.000, 0.000, 0.500) and Pb at (0.500, 0.500, 0.500).


Record 3
Crystalline FeHg3Ru at its relaxed geometry. Source: Alexandria via LeMat-Bulk, functional PBE.

The formation energy is 1.2175 eV/atom.

It has space group Pm-3m (No. 221), with a = 4.976 Å, b = 4.976 Å, c = 4.976 Å, α = 90.00°, β = 90.00° and γ = 90.00°. Symmetry generates all atoms from Fe at (0.000, 0.000, 0.000), Hg at (0.000, 0.000, 0.500) and Ru at (0.500, 0.500, 0.500).


Record 4
Crystalline ErThB12 at its relaxed geometry. Source: Alexandria via LeMat-Bulk, functional PBE.

The formation energy is -0.4212 eV/atom.

It has space group P4/mmm (No. 123), with a = 4.099 Å, b = 4.099 Å, c = 8.202 Å, α = 90.00°, β = 90.00° and γ = 90.00°. Symmetry generates all atoms from Er at (0.000, 0.000, 0.000), Th at (0.000, 0.000, 0.500), B at (0.198, 0.500, 0.248), B at (0.500, 0.500, 0.098) and B at (0.500, 0.500, 0.400).


Record 5
Crystalline CoAg2GeB at its relaxed geometry. Source: Alexandria via LeMat-Bulk, functional PBE.

The formation energy is 1.4303 eV/atom.

It has space group P4/mmm (No. 123), with a = 4.884 Å, b = 4.884 Å, c = 4.333 Å, α = 90.00°, β = 90.00° and γ = 90.00°. Symmetry generates all atoms from Co at (0.000, 0.000, 0.000), Ag at (0.000, 0.500, 0.000), Ge at (0.000, 0.000, 0.500) and B at (0.500, 0.500, 0.500).


Record 6
Crystalline HoTh2Ir2 at its relaxed geometry. Source: Alexandria via LeMat-Bulk, functional PBE.

The formation energy is -0.8241 eV/atom.

It has space group P4/mbm (No. 127), with a = 7.840 Å, b = 7.840 Å, c = 3.948 Å, α = 90.00°, β = 90.00° and γ = 90.00°. Symmetry generates all atoms from Ho at (0.000, 0.000, 0.000), Th at (0.165, 0.335, 0.500) and Ir at (0.138, 0.638, 0.000).


Record 7
Crystalline AlInTcPt2 at its relaxed geometry. Source: Alexandria via LeMat-Bulk, functional PBE.

The formation energy is 0.8453 eV/atom.

It has space group P4/mmm (No. 123), with a = 4.477 Å, b = 4.477 Å, c = 4.933 Å, α = 90.00°, β = 90.00° and γ = 90.00°. Symmetry generates all atoms from Al at (0.000, 0.000, 0.000), In at (0.000, 0.000, 0.500), Tc at (0.500, 0.500, 0.500) and Pt at (0.000, 0.500, 0.000).


Record 8
Crystalline In2NiPt at its relaxed geometry. Source: Alexandria via LeMat-Bulk, functional PBE.

The formation energy is -0.0767 eV/atom.

It has space group R-3m (No. 166, hexagonal axes), with a = 3.1318 Å, b = 3.1318 Å, c = 25.0725 Å, α = 90.00°, β = 90.00° and γ = 120.00°. Symmetry generates all atoms from In at (0.0000, 0.0000, 0.2456), Ni at (0.0000, 0.0000, 0.5000) and Pt at (0.0000, 0.0000, 0.0000).


Record 9
Crystalline CdTcMo at its relaxed geometry. Source: Alexandria via LeMat-Bulk, functional PBE.

The formation energy is 0.3256 eV/atom.

It has space group Fmm2 (No. 42), with a = 3.109 Å, b = 4.611 Å, c = 14.261 Å, α = 90.00°, β = 90.00° and γ = 90.00°. Symmetry generates all atoms from Cd at (0.000, 0.000, 0.000), Tc at (0.000, 0.000, 0.677) and Mo at (0.000, 0.000, 0.320).


Record 10
Crystalline ScBe2In at its relaxed geometry. Source: Alexandria via LeMat-Bulk, functional PBE.

The formation energy is 0.0696 eV/atom.

It has space group P4/mmm (No. 123), with a = 4.172 Å, b = 4.172 Å, c = 3.622 Å, α = 90.00°, β = 90.00° and γ = 90.00°. Symmetry generates all atoms from Sc at (0.000, 0.000, 0.000), Be at (0.000, 0.500, 0.500) and In at (0.500, 0.500, 0.000).


Record 11
Crystalline ZrTaZn3 at its relaxed geometry. Source: Alexandria via LeMat-Bulk, functional PBE.

The formation energy is 0.9972 eV/atom.

It has space group Pm-3m (No. 221), with a = 4.815 Å, b = 4.815 Å, c = 4.815 Å, α = 90.00°, β = 90.00° and γ = 90.00°. Symmetry generates all atoms from Zr at (0.000, 0.000, 0.000), Ta at (0.500, 0.500, 0.500) and Zn at (0.000, 0.500, 0.500).


Record 12
Crystalline Mn3HgW at its relaxed geometry. Source: Alexandria via LeMat-Bulk, functional PBE.

The formation energy is 1.9358 eV/atom.

It has space group Pm-3m (No. 221), with a = 4.870 Å, b = 4.870 Å, c = 4.870 Å, α = 90.00°, β = 90.00° and γ = 90.00°. Symmetry generates all atoms from Mn at (0.000, 0.000, 0.500), Hg at (0.000, 0.000, 0.000) and W at (0.500, 0.500, 0.500).


Record 13
Crystalline Na2YNbCr at its relaxed geometry. Source: Alexandria via LeMat-Bulk, functional PBE.

The formation energy is 1.5652 eV/atom.

It has space group P4/mmm (No. 123), with a = 5.449 Å, b = 5.449 Å, c = 5.069 Å, α = 90.00°, β = 90.00° and γ = 90.00°. Symmetry generates all atoms from Na at (0.000, 0.500, 0.000), Y at (0.000, 0.000, 0.500), Nb at (0.000, 0.000, 0.000) and Cr at (0.500, 0.500, 0.500).


Record 14
Crystalline YBeCu2 at its relaxed geometry. Source: Alexandria via LeMat-Bulk, functional PBE.

The formation energy is 0.3940 eV/atom.

It has space group C2/m (No. 12), with a = 5.346 Å, b = 8.859 Å, c = 3.295 Å, α = 90.00°, β = 121.21° and γ = 90.00°. Symmetry generates all atoms from Y at (0.000, 0.000, 0.000), Be at (0.000, 0.500, 0.000) and Cu at (0.250, 0.250, 0.500).